# 1
DFT (PBE-GGA) results for an optimized crystal structure of YCd2SbO.

Cell lengths 5.0211, 5.0211, 4.4501 Å; angles 90.00, 90.00, 90.00 degrees
Closest atoms and distances in Å follow each position.
Sites, in units of the cell vectors:
Y 0.0000 0.0000 0.0000  2 O 2.23
Cd 0.0000 0.5000 0.5000  2 O 2.51
Cd 0.5000 0.0000 0.5000  2 O 2.51
Sb 0.5000 0.5000 0.0000  8 Cd 3.35, 4 Y 3.55
O 0.0000 0.0000 0.5000  2 Y 2.23

Calculated values
**Uncorrected formation energy**: -825.1 meV/atom
**Spin magnetization**: 0.00 Bohr magnetons per cell

=====

# 2
DFT (PBE-GGA) results for an optimized crystal structure of Zn2CdSbO.

Cell lengths 4.3226, 4.3226, 5.0403 Å; angles 90.00, 90.00, 90.00 degrees
Closest atoms and distances in Å follow each position.
Sites, in units of the cell vectors:
Zn 0.0000 0.5000 0.0000  2 O 2.16
Zn 0.5000 0.0000 0.0000  2 O 2.16
Cd 0.0000 0.0000 0.5000  4 Sb 3.06, 8 Zn 3.32
Sb 0.5000 0.5000 0.5000  2 O 2.52
O 0.5000 0.5000 0.0000  4 Zn 2.16

Calculated values
**Uncorrected formation energy**: -72.5 meV/atom
**Spin magnetization**: 0.00 Bohr magnetons per cell

=====

# 3
DFT (PBE-GGA) results for an optimized crystal structure of ZrCdSbO6.

Cell lengths 5.5344, 5.5344, 9.3661 Å; angles 90.00, 90.00, 120.00 degrees
Closest atoms and distances in Å follow each position.
Sites, in units of the cell vectors:
Zr 0.3333 0.6667 0.2500  6 O 2.13
Zr 0.6667 0.3333 0.7500  6 O 2.13
Cd 0.0000 0.0000 0.0000  6 O 2.37
Cd 0.0000 0.0000 0.5000  6 O 2.37
Sb 0.3333 0.6667 0.7500  6 O 2.01
Sb 0.6667 0.3333 0.2500  6 O 2.01
O 0.0160 0.3684 0.6356  1 Sb 2.01, 1 Zr 2.13
O 0.0160 0.6475 0.8644  1 Sb 2.01, 1 Zr 2.13
O 0.3525 0.3684 0.8644  1 Sb 2.01, 1 Zr 2.13
O 0.3525 0.9840 0.6356  1 Sb 2.01, 1 Zr 2.13
O 0.3684 0.0160 0.1356  1 Sb 2.01, 1 Zr 2.13
O 0.3684 0.3525 0.3644  1 Sb 2.01, 1 Zr 2.13
O 0.6316 0.6475 0.6356  1 Sb 2.01, 1 Zr 2.13
O 0.6316 0.9840 0.8644  1 Sb 2.01, 1 Zr 2.13
O 0.6475 0.0160 0.3644  1 Sb 2.01, 1 Zr 2.13
O 0.6475 0.6316 0.1356  1 Sb 2.01, 1 Zr 2.13
O 0.9840 0.3525 0.1356  1 Sb 2.01, 1 Zr 2.13
O 0.9840 0.6316 0.3644  1 Sb 2.01, 1 Zr 2.13

Calculated values
**Uncorrected formation energy**: -1729.2 meV/atom
**Spin magnetization**: 2.09 Bohr magnetons per cell

=====

# 4
DFT (PBE-GGA) results for an optimized crystal structure of Sc3CdO.

Cell lengths 6.2070, 6.2103, 6.4847 Å; angles 104.72, 105.22, 117.40 degrees
Closest atoms and distances in Å follow each position.
Sites, in units of the cell vectors:
Sc 0.0000 0.0000 0.0000  1 O 2.30
Sc 0.0048 0.0041 0.5013  1 O 2.02
Sc 0.0911 0.5803 0.6742  2 O 2.04-2.22
Sc 0.0970 0.5747 0.1639  2 O 2.03-2.21
Sc 0.5082 0.5090 0.9990  1 O 2.30
Sc 0.6011 0.0895 0.6750  2 O 2.04-2.22
Cd 0.5153 0.4998 0.5075  11 Sc 3.19-3.30, 1 Cd 3.28, 1 O 3.37
Cd 0.5870 0.0786 0.1580  11 Sc 3.17-3.31, 1 Cd 3.28
O 0.0470 0.2963 0.8358  6 Sc 2.21-2.31
O 0.1930 0.8122 0.4984  4 Sc 2.02-2.04

Calculated values
**Uncorrected formation energy**: -1283.6 meV/atom
**Spin magnetization**: 0.00 Bohr magnetons per cell

=====

# 5
DFT (PBE-GGA) results for an optimized crystal structure of ScCdO2.

Cell lengths 3.1821, 3.1821, 19.8522 Å; angles 90.00, 90.00, 120.00 degrees
Closest atoms and distances in Å follow each position.
Sites, in units of the cell vectors:
Sc 0.0000 0.0000 0.0000  6 O 2.12
Sc 0.3333 0.6667 0.6667  6 O 2.12
Sc 0.6667 0.3333 0.3333  6 O 2.12
Cd 0.0000 0.0000 0.5000  2 O 2.25
Cd 0.3333 0.6667 0.1667  2 O 2.25
Cd 0.6667 0.3333 0.8333  2 O 2.25
O 0.0000 0.0000 0.3865  3 Sc 2.12, 1 Cd 2.25
O 0.0000 0.0000 0.6135  3 Sc 2.12, 1 Cd 2.25
O 0.3333 0.6667 0.0532  3 Sc 2.12, 1 Cd 2.25
O 0.3333 0.6667 0.2801  3 Sc 2.12, 1 Cd 2.25
O 0.6667 0.3333 0.7199  3 Sc 2.12, 1 Cd 2.25
O 0.6667 0.3333 0.9468  3 Sc 2.12, 1 Cd 2.25

Calculated values
**Uncorrected formation energy**: -2293.2 meV/atom
**Spin magnetization**: 0.00 Bohr magnetons per cell

=====

# 6
DFT (PBE-GGA) results for an optimized crystal structure of Sc3CdO.

Cell lengths 5.3135, 12.8399, 6.0379 Å; angles 90.00, 90.00, 90.00 degrees
Closest atoms and distances in Å follow each position.
Sites, in units of the cell vectors:
Sc 0.0016 0.1229 0.0863  1 O 2.07
Sc 0.0016 0.3771 0.0863  1 O 2.07
Sc 0.0262 0.2500 0.5557  2 O 2.07-2.16
Sc 0.4738 0.7500 0.0557  2 O 2.07-2.16
Sc 0.4984 0.6229 0.5863  1 O 2.07
Sc 0.4984 0.8771 0.5863  1 O 2.07
Sc 0.5016 0.1229 0.4137  1 O 2.07
Sc 0.5016 0.3771 0.4137  1 O 2.07
Sc 0.5262 0.2500 0.9443  2 O 2.07-2.16
Sc 0.9738 0.7500 0.4443  2 O 2.07-2.16
Sc 0.9984 0.6229 0.9137  1 O 2.07
Sc 0.9984 0.8771 0.9137  1 O 2.07
Cd 0.0000 0.0000 0.5000  8 Sc 2.95-3.23
Cd 0.0000 0.5000 0.5000  8 Sc 2.95-3.23
Cd 0.5000 0.0000 0.0000  8 Sc 2.95-3.23
Cd 0.5000 0.5000 0.0000  8 Sc 2.95-3.23
O 0.0735 0.7500 0.1136  4 Sc 2.07-2.16
O 0.4265 0.2500 0.6136  4 Sc 2.07-2.16
O 0.5735 0.7500 0.3864  4 Sc 2.07-2.16
O 0.9265 0.2500 0.8864  4 Sc 2.07-2.16

Calculated values
**Uncorrected formation energy**: -1216.2 meV/atom
**Spin magnetization**: 0.00 Bohr magnetons per cell

=====

# 7
DFT (PBE-GGA) results for an optimized crystal structure of Sc9Cd3O2.

Cell lengths 6.3360, 6.3360, 7.7579 Å; angles 90.00, 90.00, 120.00 degrees
Closest atoms and distances in Å follow each position.
Sites, in units of the cell vectors:
Sc 0.0000 0.5000 0.0000  2 O 2.22
Sc 0.1686 0.3372 0.6697  1 O 2.23
Sc 0.1686 0.8314 0.6697  1 O 2.23
Sc 0.3372 0.1686 0.3303  1 O 2.23
Sc 0.5000 0.0000 0.0000  2 O 2.22
Sc 0.5000 0.5000 0.0000  2 O 2.22
Sc 0.6628 0.8314 0.6697  1 O 2.23
Sc 0.8314 0.1686 0.3303  1 O 2.23
Sc 0.8314 0.6628 0.3303  1 O 2.23
Cd 0.0000 0.0000 0.0000  12 Sc 3.16-3.17
Cd 0.3333 0.6667 0.3341  12 Sc 3.17
Cd 0.6667 0.3333 0.6659  12 Sc 3.17
O 0.3333 0.6667 0.8373  6 Sc 2.22-2.23
O 0.6667 0.3333 0.1627  6 Sc 2.22-2.23

Calculated values
**Uncorrected formation energy**: -1023.8 meV/atom
**Spin magnetization**: 0.00 Bohr magnetons per cell

=====

# 8
DFT (PBE-GGA) results for an optimized crystal structure of ScCdO2.

Cell lengths 5.3005, 5.3005, 9.6755 Å; angles 90.00, 90.00, 90.00 degrees
Closest atoms and distances in Å follow each position.
Sites, in units of the cell vectors:
Sc 0.0000 0.0000 0.0000  4 O 2.01
Sc 0.0000 0.5000 0.2500  4 O 2.01
Sc 0.5000 0.0000 0.7500  4 O 2.01
Sc 0.5000 0.5000 0.5000  4 O 2.01
Cd 0.0000 0.0000 0.5000  4 O 2.50
Cd 0.0000 0.5000 0.7500  4 O 2.50
Cd 0.5000 0.0000 0.2500  4 O 2.50
Cd 0.5000 0.5000 0.0000  4 O 2.50
O 0.1703 0.2500 0.1250  2 Sc 2.01
O 0.2500 0.6703 0.3750  2 Sc 2.01
O 0.2500 0.8297 0.8750  2 Sc 2.01
O 0.3297 0.2500 0.6250  2 Sc 2.01
O 0.6703 0.7500 0.6250  2 Sc 2.01
O 0.7500 0.1703 0.8750  2 Sc 2.01
O 0.7500 0.3297 0.3750  2 Sc 2.01
O 0.8297 0.7500 0.1250  2 Sc 2.01

Calculated values
**Uncorrected formation energy**: -2124.3 meV/atom
**Spin magnetization**: 0.00 Bohr magnetons per cell

=====

# 9
DFT (PBE-GGA) results for an optimized crystal structure of Sc3CdO.

Cell lengths 7.1317, 7.1317, 4.4369 Å; angles 90.00, 90.00, 127.38 degrees
Closest atoms and distances in Å follow each position.
Sites, in units of the cell vectors:
Sc 0.0000 0.5000 0.5000  2 O 2.19
Sc 0.1302 0.8698 0.0000  2 O 2.22
Sc 0.2395 0.2395 0.5000  2 O 2.26
Sc 0.5000 0.0000 0.5000  2 O 2.19
Sc 0.7605 0.7605 0.5000  2 O 2.26
Sc 0.8698 0.1302 0.0000  2 O 2.22
Cd 0.3764 0.6236 0.0000  11 Sc 3.15-3.18, 1 Cd 3.16
Cd 0.6236 0.3764 0.0000  11 Sc 3.15-3.18, 1 Cd 3.16
O 0.1310 0.8690 0.5000  6 Sc 2.19-2.26
O 0.8690 0.1310 0.5000  6 Sc 2.19-2.26

Calculated values
**Uncorrected formation energy**: -1355.5 meV/atom
**Spin magnetization**: 0.00 Bohr magnetons per cell

=====

# 10
DFT (PBE-GGA) results for an optimized crystal structure of Sc3CdO.

Cell lengths 3.5069, 3.5069, 19.3618 Å; angles 90.00, 90.00, 120.00 degrees
Closest atoms and distances in Å follow each position.
Sites, in units of the cell vectors:
Sc 0.0000 0.0000 0.2500  3 O 2.02
Sc 0.0000 0.0000 0.7500  3 O 2.02
Sc 0.3333 0.6667 0.1211  1 O 2.50
Sc 0.3333 0.6667 0.3789  1 O 2.50
Sc 0.6667 0.3333 0.6211  1 O 2.50
Sc 0.6667 0.3333 0.8789  1 O 2.50
Cd 0.0000 0.0000 0.0000  6 Sc 3.10
Cd 0.0000 0.0000 0.5000  6 Sc 3.10
O 0.3333 0.6667 0.2500  3 Sc 2.02
O 0.6667 0.3333 0.7500  3 Sc 2.02

Calculated values
**Uncorrected formation energy**: -1144.9 meV/atom
**Spin magnetization**: 0.00 Bohr magnetons per cell

=====

# 11
DFT (PBE-GGA) results for an optimized crystal structure of Sc3CdO.

Cell lengths 3.3775, 6.3941, 9.6925 Å; angles 90.00, 90.00, 90.00 degrees
Closest atoms and distances in Å follow each position.
Sites, in units of the cell vectors:
Sc 0.2500 0.0002 0.1419  1 O 2.04
Sc 0.2500 0.2500 0.6004  2 O 2.09
Sc 0.2500 0.4998 0.1419  1 O 2.04
Sc 0.7500 0.9998 0.8581  1 O 2.04
Sc 0.7500 0.5002 0.8581  1 O 2.04
Sc 0.7500 0.7500 0.3996  2 O 2.09
Cd 0.2500 0.7500 0.6585  8 Sc 3.02-3.25, 2 Cd 3.38
Cd 0.7500 0.2500 0.3415  8 Sc 3.02-3.25, 2 Cd 3.38
O 0.2500 0.7500 0.2722  4 Sc 2.04-2.09
O 0.7500 0.2500 0.7278  4 Sc 2.04-2.09

Calculated values
**Uncorrected formation energy**: -1164.8 meV/atom
**Spin magnetization**: 0.00 Bohr magnetons per cell

=====

no.,volume (Å³/atom)
1,22.44
2,18.84
3,13.80
4,19.25
5,14.51
6,20.60
7,19.26
8,16.99
9,17.93
10,20.62
11,20.93